Entry from Alexandria via LeMat-Bulk: an optimized crystal structure of TlTcRh2 (PBE).

Properties
ΔH_f (0 K) ... 0.2993 eV per atom
VASP energy ... -6.559 eV per atom
Volume ... 16.1 A^3/atom
Space-group type ... Cmmm
DOS(E_F) ... 1.141 states/eV per atom
Excess energy over the best structure of this formula in the dataset ... 208 meV/atom

Unit cell a=5.7282 b=7.8046 c=2.8757 alpha=90.00 beta=90.00 gamma=90.00
Closest atoms and distances in Å follow each position.
Sites, in units of the cell vectors:
Tl: 0.0000 0.0000 0.0000  8 Rh 2.82, 2 Tc 2.86, 2 Tl 2.88
Tl: 0.5000 0.5000 0.0000  8 Rh 2.82, 2 Tc 2.86, 2 Tl 2.88
Tc: 0.0000 0.5000 0.0000  8 Rh 2.82, 2 Tl 2.86, 2 Tc 2.88
Tc: 0.5000 0.0000 0.0000  8 Rh 2.82, 2 Tl 2.86, 2 Tc 2.88
Rh: 0.2500 0.2500 0.5000  4 Tl 2.82, 4 Tc 2.82, 4 Rh 2.86-2.88
Rh: 0.2500 0.7500 0.5000  4 Tc 2.82, 4 Tl 2.82, 4 Rh 2.86-2.88
Rh: 0.7500 0.2500 0.5000  4 Tl 2.82, 4 Tc 2.82, 4 Rh 2.86-2.88
Rh: 0.7500 0.7500 0.5000  4 Tl 2.82, 4 Tc 2.82, 4 Rh 2.86-2.88